Record 1
Pm5DyTm3 | PBE | relaxed

Cell: 9.216 9.216 9.664 Å, 118.48 118.48 90.00°
Positions (direct):
Dy: 0.250 0.750 0.500
Dy: 0.750 0.250 0.500
Tm: 0.890 0.610 0.000
Tm: 0.610 0.110 0.000
Tm: 0.390 0.890 0.000
Tm: 0.110 0.390 0.000
Tm: 0.750 0.750 0.500
Tm: 0.250 0.250 0.500
Pm: 0.569 0.667 0.736
Pm: 0.431 0.333 0.264
Pm: 0.833 0.931 0.264
Pm: 0.333 0.833 0.264
Pm: 0.500 0.500 0.000
Pm: 0.069 0.569 0.736
Pm: 0.167 0.069 0.736
Pm: 0.667 0.167 0.736
Pm: 0.931 0.431 0.264
Pm: 0.000 0.000 0.000

- crystal system = tetragonal
- polymorph energy (0 for the lowest one) (eV/atom) = 0.1462

Record 2
Pm14DyTm | PBE | relaxed

Cell: 7.271 7.271 10.258 Å, 90.00 90.00 89.99°
Positions (direct):
Dy: 0.875 0.125 0.000
Pm: 0.625 0.875 0.248
Pm: 0.875 0.125 0.500
Pm: 0.375 0.625 0.500
Pm: 0.125 0.875 0.248
Pm: 0.125 0.875 0.752
Pm: 0.875 0.625 0.500
Pm: 0.375 0.125 0.000
Pm: 0.875 0.625 0.000
Pm: 0.125 0.375 0.752
Pm: 0.625 0.375 0.248
Pm: 0.125 0.375 0.248
Pm: 0.625 0.375 0.752
Pm: 0.625 0.875 0.752
Pm: 0.375 0.125 0.500
Tm: 0.375 0.625 0.000

- E_tot (eV/atom) = -4.71
- crystal system = tetragonal

Q: What is the formula in the first record?
A: Pm5DyTm3